PaPdPbO4 PBE relaxed; ΔE_f (raw) = -1.935 eV/atom; space-group type = No. 74; uncorrected energy = -51.8 eV per formula unit
1.0
-3.3090 3.5234 5.2932
3.3090 -3.5234 5.2932
3.3090 3.5234 -5.2932
Pa Pd Pb O
2 2 2 8
Direct
0.0000 0.0000 0.0000
0.5000 0.0000 0.5000
0.5000 0.0000 0.0000
0.5000 0.5000 0.5000
0.0786 0.3286 0.7500
0.9214 0.6714 0.2500
0.2133 0.1668 0.4535
0.2133 0.7598 0.0465
0.2449 0.2003 0.0446
0.3443 0.7997 0.5446
0.6557 0.2003 0.4554
0.7551 0.7997 0.9554
0.7867 0.2402 0.9535
0.7867 0.8332 0.5465